[1]
Density functional theory data (PBE-GGA) for a geometry-optimized LiFeAsRu structure.

Values from the calculation:
Final energy   -6.2120 eV per atom
ΔE_f   -0.137 eV/atom

a = 4.208 Å, b = 4.208 Å, c = 4.208 Å
α = 60.00°, β = 60.00°, γ = 60.00°
Element x y z (fractional)
Li (0.000, 0.000, 0.000)
Fe (0.750, 0.750, 0.750)
As (0.250, 0.250, 0.250)
Ru (0.500, 0.500, 0.500)



[2]
Density functional theory data (PBE-GGA) for a geometry-optimized La3Ag2Ge3 structure.

Values from the calculation:
Final energy   -4.9507 eV per atom
ΔE_f   -0.659 eV/atom

a = 6.197 Å, b = 6.197 Å, c = 15.020 Å
α = 90.00°, β = 90.00°, γ = 137.27°
Element x y z (fractional)
La (0.079, 0.921, 0.615)
La (0.079, 0.921, 0.885)
La (0.360, 0.640, 0.750)
La (0.640, 0.360, 0.250)
La (0.921, 0.079, 0.115)
La (0.921, 0.079, 0.385)
Ag (0.217, 0.783, 0.083)
Ag (0.217, 0.783, 0.417)
Ag (0.783, 0.217, 0.583)
Ag (0.783, 0.217, 0.917)
Ge (0.338, 0.662, 0.250)
Ge (0.404, 0.596, 0.546)
Ge (0.404, 0.596, 0.954)
Ge (0.596, 0.404, 0.046)
Ge (0.596, 0.404, 0.454)
Ge (0.662, 0.338, 0.750)



[3]
Density functional theory data (PBE-GGA) for a geometry-optimized SrAs2 structure.

Values from the calculation:
Final energy   -4.2402 eV per atom
ΔE_f   -0.580 eV/atom

a = 5.348 Å, b = 5.348 Å, c = 5.348 Å
α = 131.33°, β = 131.33°, γ = 71.29°
Element x y z (fractional)
Sr (0.000, 0.000, 0.000)
As (0.366, 0.366, 0.000)
As (0.634, 0.634, 0.000)



[4]
Density functional theory data (PBE-GGA) for a geometry-optimized Sr6Cd2P structure.

Values from the calculation:
Final energy   -2.3369 eV per atom
ΔE_f   -0.411 eV/atom

a = 7.647 Å, b = 8.762 Å, c = 13.496 Å
α = 90.00°, β = 123.35°, γ = 90.00°
Element x y z (fractional)
Sr (0.121, 0.176, 0.444)
Sr (0.121, 0.324, 0.944)
Sr (0.286, 0.695, 0.442)
Sr (0.286, 0.805, 0.942)
Sr (0.377, 0.033, 0.251)
Sr (0.377, 0.467, 0.751)
Sr (0.623, 0.533, 0.249)
Sr (0.623, 0.967, 0.749)
Sr (0.714, 0.195, 0.058)
Sr (0.714, 0.305, 0.558)
Sr (0.879, 0.676, 0.056)
Sr (0.879, 0.824, 0.556)
Cd (0.203, 0.106, 0.750)
Cd (0.203, 0.394, 0.250)
Cd (0.797, 0.606, 0.750)
Cd (0.797, 0.894, 0.250)
P (0.500, 0.000, 0.500)
P (0.500, 0.500, 0.000)



[5]
Density functional theory data (PBE-GGA) for a geometry-optimized ErBeFeGe3 structure.

Values from the calculation:
Final energy   -5.0878 eV per atom
ΔE_f   0.013 eV/atom

a = 6.029 Å, b = 6.029 Å, c = 6.957 Å
α = 90.00°, β = 90.00°, γ = 124.25°
Element x y z (fractional)
Er (0.215, 0.785, 0.750)
Er (0.785, 0.215, 0.250)
Be (0.484, 0.516, 0.750)
Be (0.516, 0.484, 0.250)
Fe (0.097, 0.903, 0.250)
Fe (0.903, 0.097, 0.750)
Ge (0.235, 0.235, 0.000)
Ge (0.235, 0.235, 0.500)
Ge (0.308, 0.692, 0.250)
Ge (0.692, 0.308, 0.750)
Ge (0.765, 0.765, 0.000)
Ge (0.765, 0.765, 0.500)



[6]
Density functional theory data (PBE-GGA) for a geometry-optimized La2MnPbAu structure.

Values from the calculation:
Final energy   -4.7420 eV per atom
ΔE_f   0.460 eV/atom

a = 6.109 Å, b = 6.109 Å, c = 4.944 Å
α = 90.00°, β = 90.00°, γ = 90.00°
Element x y z (fractional)
La (0.000, 0.500, 0.000)
La (0.500, 0.000, 0.000)
Mn (0.000, 0.000, 0.500)
Pb (0.000, 0.000, 0.000)
Au (0.500, 0.500, 0.500)